# 1
A plane-wave DFT calculation with PBE was carried out for a geometry-optimized Nd2MgH structure.

a b c (Å): 3.3571 3.3571 8.2185
angles (deg): 90.00 90.00 90.00
With the nearest neighbours (Å) after each atom.
Element x y z (fractional)
H  0.5000  0.5000  0.0000  8 Nd 2.89
Mg  0.5000  0.5000  0.5000  4 Mg 3.36, 8 Nd 3.42
Nd  0.0000  0.0000  0.7998  4 H 2.89
Nd  0.0000  0.0000  0.2002  4 H 2.89

Summary:
Density of states at the Fermi level ... 0.95 states/eV per atom
Energy above the lowest structure with this stoichiometry ... 0.2041 eV/atom
Density ... 5.63 g/cm³
Magnetic moment ... 0.0 μB per cell

=====

# 2
A plane-wave DFT calculation with PBE was carried out for a geometry-optimized CuReSe2 structure.

a b c (Å): 3.8959 3.8959 7.7236
angles (deg): 106.60 106.60 48.21
With the nearest neighbours (Å) after each atom.
Element x y z (fractional)
Cu  0.2500  0.2500  0.2500  2 Se 2.31
Re  0.7500  0.7500  0.7500  6 Se 2.52-2.55
Se  0.1111  0.1111  0.9371  1 Cu 2.31, 3 Re 2.52-2.55
Se  0.3889  0.3889  0.5629  1 Cu 2.31, 3 Re 2.52-2.55

Summary:
Density of states at the Fermi level ... 0.37 states/eV per atom
Energy above the lowest structure with this stoichiometry ... 0.0104 eV/atom
Density ... 8.15 g/cm³
Formation energy from raw total energies ... 0.759 eV per formula unit
Magnetic moment ... 0.0 μB per cell

=====

# 3
A plane-wave DFT calculation with PBE was carried out for a geometry-optimized PrTm2Se5 structure.

a b c (Å): 7.6145 7.6145 8.5262
angles (deg): 116.52 116.52 90.00
With the nearest neighbours (Å) after each atom.
Element x y z (fractional)
Pr  0.7500  0.7500  0.5000  10 Se 3.21-3.31
Pr  0.2500  0.2500  0.5000  10 Se 3.21-3.31
Tm  0.1559  0.3441  0.0000  8 Se 2.79-3.03
Tm  0.6559  0.1559  0.0000  8 Se 2.79-3.03
Tm  0.3441  0.8441  0.0000  8 Se 2.79-3.03
Tm  0.8441  0.6559  0.0000  8 Se 2.79-3.03
Se  0.5102  0.7018  0.7121  3 Tm 2.79-3.03
Se  0.7982  0.9898  0.2879  3 Tm 2.79-3.03
Se  0.0000  0.0000  0.0000  4 Tm 2.88
Se  0.5000  0.5000  0.0000  4 Tm 2.88
Se  0.2018  0.0102  0.7121  3 Tm 2.79-3.03
Se  0.7018  0.2018  0.7121  3 Tm 2.79-3.03
Se  0.0102  0.5102  0.7121  3 Tm 2.79-3.03
Se  0.2982  0.7982  0.2879  3 Tm 2.79-3.03
Se  0.9898  0.4898  0.2879  3 Tm 2.79-3.03
Se  0.4898  0.2982  0.2879  3 Tm 2.79-3.03

Summary:
Density of states at the Fermi level ... 0.73 states/eV per atom
Density ... 7.57 g/cm³
Formation energy from raw total energies ... -12.978 eV per formula unit
Magnetic moment ... 0.0 μB per cell

=====

# 4
A plane-wave DFT calculation with PBE was carried out for a geometry-optimized CaPmSmSn structure.

a b c (Å): 5.5323 5.5323 5.5323
angles (deg): 60.00 60.00 60.00
With the nearest neighbours (Å) after each atom.
Element x y z (fractional)
Ca  0.7500  0.7500  0.7500  4 Pm 3.39, 4 Sm 3.39
Sn  0.2500  0.2500  0.2500  4 Pm 3.39, 4 Sm 3.39
Sm  0.5000  0.5000  0.5000  4 Sn 3.39, 4 Ca 3.39
Pm  0.0000  0.0000  0.0000  4 Ca 3.39, 4 Sn 3.39

Summary:
Density of states at the Fermi level ... 1.37 states/eV per atom
Energy relative to the elements ... -0.2795 eV per atom
Density ... 6.30 g/cm³
Magnetic moment ... 0.0 μB per cell

=====

# 5
A plane-wave DFT calculation with PBE was carried out for a geometry-optimized K4GeP4S12 structure.

a b c (Å): 7.5148 7.5148 23.6719
angles (deg): 80.70 80.70 65.58
With the nearest neighbours (Å) after each atom.
Element x y z (fractional)
K  0.8301  0.7935  0.5441  7 S 3.33-3.58
K  0.2065  0.1699  0.9559  7 S 3.33-3.58
K  0.1699  0.2065  0.4559  7 S 3.33-3.58
K  0.7935  0.8301  0.0441  7 S 3.33-3.58
K  0.6851  0.5226  0.8207  5 S 3.19-3.56
K  0.4774  0.3149  0.6793  5 S 3.19-3.56
K  0.3149  0.4774  0.1793  5 S 3.19-3.56
K  0.5226  0.6851  0.3207  5 S 3.19-3.56
Ge  0.0397  0.9603  0.7500  4 S 2.24-2.26
Ge  0.9603  0.0397  0.2500  4 S 2.24-2.26
P  0.1071  0.6936  0.8744  3 S 1.97-2.17
P  0.3064  0.8929  0.6256  3 S 1.97-2.17
P  0.8929  0.3064  0.1256  3 S 1.97-2.17
P  0.6936  0.1071  0.3744  3 S 1.97-2.17
P  0.0795  0.2100  0.6168  3 S 1.98-2.19
P  0.7900  0.9205  0.8832  3 S 1.98-2.19
P  0.9205  0.7900  0.3832  3 S 1.98-2.19
P  0.2100  0.0795  0.1168  3 S 1.98-2.19
S  0.2087  0.6334  0.9500  1 P 1.97
S  0.3666  0.7913  0.5500  1 P 1.97
S  0.7913  0.3666  0.0500  1 P 1.97
S  0.6334  0.2087  0.4500  1 P 1.97
S  0.1357  0.4731  0.8318  1 P 2.00
S  0.5269  0.8643  0.6682  1 P 2.00
S  0.8643  0.5269  0.1682  1 P 2.00
S  0.4731  0.1357  0.3318  1 P 2.00
S  0.1188  0.7644  0.6798  1 P 2.17, 1 Ge 2.24
S  0.2356  0.8812  0.8202  1 P 2.17, 1 Ge 2.24
S  0.8812  0.2356  0.3202  1 P 2.17, 1 Ge 2.24
S  0.7644  0.1188  0.1798  1 P 2.17, 1 Ge 2.24
S  0.2147  0.3823  0.5782  1 P 1.99
S  0.6177  0.7853  0.9218  1 P 1.99
S  0.7853  0.6177  0.4218  1 P 1.99
S  0.3823  0.2147  0.0782  1 P 1.99
S  0.8493  0.2261  0.5823  1 P 1.98
S  0.7739  0.1507  0.9177  1 P 1.98
S  0.1507  0.7739  0.4177  1 P 1.98
S  0.2261  0.8493  0.0823  1 P 1.98
S  0.0163  0.2607  0.7078  1 P 2.19, 1 Ge 2.26
S  0.7393  0.9837  0.7922  1 P 2.19, 1 Ge 2.26
S  0.9837  0.7393  0.2922  1 P 2.19, 1 Ge 2.26
S  0.2607  0.0163  0.2078  1 P 2.19, 1 Ge 2.26

Summary:
Density of states at the Fermi level ... 0.00 states/eV per atom
Density ... 2.05 g/cm³
Formation energy from raw total energies ... -14.001 eV per formula unit
Magnetic moment ... 0.0 μB per cell

=====

# 6
A plane-wave DFT calculation with PBE was carried out for a geometry-optimized La8Nd2Sm3 structure.

a b c (Å): 5.8790 11.1922 9.3656
angles (deg): 126.69 74.94 90.00
With the nearest neighbours (Å) after each atom.
Element x y z (fractional)
La  0.7354  0.4253  0.8506  1 La 2.94, 1 Nd 3.17
La  0.2646  0.5747  0.1494  1 La 2.94, 1 Nd 3.17
La  0.1288  0.8369  0.6738  1 Nd 3.45, 4 Sm 3.59-3.77, 3 La 3.76
La  0.8712  0.1631  0.3262  1 Nd 3.45, 4 Sm 3.59-3.77, 3 La 3.76
La  0.3321  0.9361  0.3340  3 La 3.39-3.76, 2 Nd 3.50-3.72, 2 Sm 3.51-3.65
La  0.3321  0.3979  0.3340  3 La 3.39-3.76, 2 Nd 3.50-3.72, 2 Sm 3.51-3.65
La  0.6679  0.6021  0.6660  3 La 3.39-3.76, 2 Nd 3.50-3.72, 2 Sm 3.51-3.65
La  0.6679  0.0639  0.6660  3 La 3.39-3.76, 2 Nd 3.50-3.72, 2 Sm 3.51-3.65
Nd  0.6983  0.6728  0.3456  5 La 3.17-3.50
Nd  0.3017  0.3272  0.6544  5 La 3.17-3.50
Sm  0.5000  0.0000  0.0000  8 La 3.51-3.77
Sm  0.0000  0.2451  0.0000  8 La 3.59-3.92, 2 Nd 3.88, 2 Sm 4.02
Sm  0.0000  0.7549  0.0000  8 La 3.59-3.92, 2 Nd 3.88, 2 Sm 4.02

Summary:
Density of states at the Fermi level ... 1.70 states/eV per atom
Energy above the lowest structure with this stoichiometry ... 0.0000 eV/atom
Energy relative to the elements ... 0.1468 eV per atom
Density ... 6.57 g/cm³
Magnetic moment ... 0.0 μB per cell

=====

Question: The lowest density of states at the Fermi level belongs to which entry?
Answer: K4GeP4S12